# PuMgCoRh

A geometry-optimized PuMgCoRh structure (PBE-GGA, the Alexandria database).

Magnetization (μB per cell): 3.9
ΔH_f (0 K) (eV per atom): -0.206
Calculated total energy (eV/atom): -7.80

Cell lengths 4.589, 4.589, 4.589 Å; angles 60.00, 60.00, 60.00 degrees
Atoms (fractional coordinates):
Mg 0.000 0.000 0.000
Rh 0.250 0.250 0.250
Pu 0.500 0.500 0.500
Co 0.750 0.750 0.750